## Cd2FeIO6 (GGA+U)

Data for a relaxed Cd2FeIO6 crystal.

Calculated values
M_tot = 5.0 μB/f.u.
Calculated total energy = -4.71 eV/atom
Symmetry = P2_1/c (14)

Cell lengths 5.532, 5.652, 9.712 Å; angles 90.00, 124.24, 90.00 degrees
Atoms (fractional coordinates):
Cd (0.235, 0.047, 0.248)
Cd (0.235, 0.453, 0.748)
Cd (0.765, 0.547, 0.252)
Cd (0.765, 0.953, 0.752)
Fe (0.000, 0.000, 0.500)
Fe (0.000, 0.500, 0.000)
I (0.500, 0.000, 0.000)
I (0.500, 0.500, 0.500)
O (0.132, 0.204, 0.939)
O (0.132, 0.296, 0.439)
O (0.237, 0.698, 0.938)
O (0.237, 0.802, 0.438)
O (0.360, 0.052, 0.746)
O (0.360, 0.448, 0.246)
O (0.640, 0.552, 0.754)
O (0.640, 0.948, 0.254)
O (0.763, 0.198, 0.562)
O (0.763, 0.302, 0.062)
O (0.868, 0.704, 0.561)
O (0.868, 0.796, 0.061)